No. 1
## Ce2Ga4IrPd3 (PBE-GGA)

Data for a geometry-optimized Ce2Ga4IrPd3 structure.

Lattice parameters (Å, degrees): 4.279 4.279 10.394 90.00 90.00 90.00
Space group P-4m2 (No. 115)
Inequivalent atoms, fractional coordinates:
Ce (0.000, 0.500, 0.246) [2 per cell]
Ga (0.000, 0.000, 0.500) [1 per cell]
Ga (0.000, 0.500, 0.871) [2 per cell]
Ga (0.500, 0.500, 0.500) [1 per cell]
Ir (0.500, 0.500, 0.000) [1 per cell]
Pd (0.000, 0.000, 0.000) [1 per cell]
Pd (0.000, 0.500, 0.633) [2 per cell]

## Properties
Calculated volume = 190 Å³/cell
ΔH_f (0 K) = -7.39 eV/f.u.
Final energy = -55.807 eV for the cell shown

No. 2
## TlCl (PBE-GGA)

Data for a geometry-optimized TlCl structure.

Lattice parameters (Å, degrees): 8.782 8.782 8.782 90.00 90.00 90.00
Space group Pm-3n (No. 223)
Inequivalent atoms, fractional coordinates:
Tl (0.000, 0.250, 0.500) [6 per cell]
Cl (0.000, 0.500, 0.250) [6 per cell]

## Properties
Calculated volume = 677 Å³/cell
Uncorrected formation energy = -0.94 eV per atom
Final energy = -36.550 eV for the cell shown

No. 3
## TlGaHgAu2 (PBE-GGA)

Data for a geometry-optimized TlGaHgAu2 structure.

Lattice parameters (Å, degrees): 4.987 4.987 5.399 90.00 90.00 90.00
Space group P4/mmm (No. 123)
Inequivalent atoms, fractional coordinates:
Tl (0.000, 0.000, 0.000) [1 per cell]
Ga (0.500, 0.500, 0.500) [1 per cell]
Hg (0.500, 0.500, 0.000) [1 per cell]
Au (0.000, 0.500, 0.500) [2 per cell]

## Properties
Calculated volume = 134 Å³/cell
ΔE to the lowest computed polymorph = 0.66 eV per formula unit
ΔH_f (0 K) = 0.27 eV/f.u.
Final energy = -11.982 eV for the cell shown

No. 4
## YHg2Au (PBE-GGA)

Data for a geometry-optimized YHg2Au structure.

Lattice parameters (Å, degrees): 6.025 11.366 4.074 90.00 132.51 90.00
Space group C2/m (No. 12)
Inequivalent atoms, fractional coordinates:
Y (0.000, 0.000, 0.000) [2 per cell]
Hg (0.250, 0.250, 0.000) [4 per cell]
Au (0.000, 0.500, 0.000) [2 per cell]

## Properties
Calculated volume = 206 Å³/cell
ΔH_f (0 K) = -0.98 eV/f.u.
Final energy = -22.656 eV for the cell shown